Computed, not measured: a relaxed Mn2IrRu crystal at the PBEsol level of DFT.

The calculated total energy is -9.89 eV per atom. The density of states at the Fermi level is 4.518 states/eV per cell. Its symmetry is Cmmm (65). As for the crystal system: orthorhombic. As for the calculated formation energy: -6 meV per atom. For the total magnetization, the calculation gives 0.460 μB per atom.

a = 2.6062 Å, b = 4.4452 Å, c = 4.4452 Å
α = 108.10°, β = 90.00°, γ = 90.00°
Site moments in Bohr magnetons follow the coordinates.
Sites, in units of the cell vectors:
Mn  0.0000  0.5000  0.0000  1.09
Ru  0.5000  0.0000  0.0000  -0.26
Mn  0.0000  0.0000  0.5000  1.09
Ir  0.5000  0.5000  0.5000  -0.13

Computed, not measured: a relaxed Ti4Tl2O9 crystal at the PBEsol level of DFT.

The calculated total energy is -8.31 eV per atom. The density of states at the Fermi level is 0.000 states/eV per cell. Its symmetry is C2/m (12). As for the crystal system: monoclinic. For the total magnetization, the calculation gives 0.000 μB per atom.

a = 3.7599 Å, b = 9.6769 Å, c = 12.0478 Å
α = 106.36°, β = 90.00°, γ = 101.20°
Sites, in units of the cell vectors:
Tl  0.5134  0.0267  0.3164
O  0.1850  0.3701  0.0263
Ti  0.7963  0.5926  0.6031
Ti  0.1636  0.3271  0.6229
O  0.6539  0.3078  0.8554
O  0.8150  0.6299  0.9737
O  0.6935  0.3869  0.6412
O  0.7681  0.5362  0.2016
O  0.1648  0.3297  0.2417
O  0.0396  0.0792  0.8787
O  0.3461  0.6922  0.1446
Ti  0.8728  0.7456  0.1379
Tl  0.4171  0.8342  0.9157
O  0.8352  0.6703  0.7583
O  0.3065  0.6131  0.3588
O  0.7315  0.4629  0.4222
O  0.0876  0.1752  0.6824
Tl  0.5829  0.1658  0.0843
Ti  0.7541  0.5082  0.8321
O  0.8742  0.7485  0.5386
Ti  0.2459  0.4918  0.1679
O  0.9604  0.9208  0.1213
O  0.9124  0.8248  0.3176
O  0.1258  0.2515  0.4614
Ti  0.8364  0.6729  0.3771
Ti  0.2037  0.4074  0.3969
O  0.2685  0.5371  0.5778
O  0.2319  0.4638  0.7984
Tl  0.4866  0.9733  0.6836
Ti  0.1272  0.2544  0.8621

Computed, not measured: a relaxed RbBi3Ru crystal at the PBEsol level of DFT.

The calculated total energy is -2.52 eV per atom. The density of states at the Fermi level is 10.796 states/eV per cell. Its symmetry is Pm-3m (221). As for the crystal system: cubic. As for the calculated formation energy: 2290 meV per atom. For the total magnetization, the calculation gives 0.569 μB per atom.

a = 5.8151 Å, b = 5.8151 Å, c = 5.8151 Å
α = 90.00°, β = 90.00°, γ = 90.00°
Site moments in Bohr magnetons follow the coordinates.
Sites, in units of the cell vectors:
Bi  0.0000  0.5000  0.0000  -0.01
Rb  0.0000  0.0000  0.0000  0.03
Bi  0.0000  0.0000  0.5000  -0.01
Bi  0.5000  0.0000  0.0000  -0.01
Ru  0.5000  0.5000  0.5000  2.57